(1)
VASP calculation (PBE) on a relaxed structure of LiHoPuSe3.

It has space group P2_1/m (No. 11), with a = 8.3869 Å, b = 4.0225 Å, c = 8.8012 Å, α = 90.00°, β = 102.84° and γ = 90.00°. Symmetry generates all atoms from Li at (0.0862, 0.2500, 0.0814), Ho at (0.3333, 0.7500, 0.3341), Pu at (0.1793, 0.2500, 0.7220), Se at (0.0995, 0.2500, 0.3671), Se at (0.2241, 0.7500, 0.9993) and Se at (0.4278, 0.7500, 0.6698).

Its density is 7.488 g/cm3. As for the total energy: -6.76 eV per atom. Its formation energy from raw total energies is -1.5422 eV per atom. As for the density of states at the Fermi level: 24.76 states/eV per cell.



(2)
VASP calculation (PBE) on a relaxed structure of Li3Ho3PuSe8.

It has space group R-3m (No. 166, hexagonal axes), with a = 8.1436 Å, b = 8.1436 Å, c = 19.4672 Å, α = 90.00°, β = 90.00° and γ = 120.00°. Symmetry generates all atoms from Li at (0.0000, 0.5000, 0.0000), Ho at (0.0000, 0.5000, 0.5000), Pu at (0.0000, 0.0000, 0.5000), Se at (0.0000, 0.0000, 0.2507) and Se at (0.0031, 0.5015, 0.2492).

Its density is 6.199 g/cm3. As for the total energy: -5.69 eV per atom. Its formation energy from raw total energies is -1.5788 eV per atom. As for the density of states at the Fermi level: 34.62 states/eV per cell.



(3)
VASP calculation (PBE) on a relaxed structure of LiHo3Pu2Se6.

It has space group C2/m (No. 12), with a = 7.0554 Å, b = 12.2294 Å, c = 7.0936 Å, α = 90.00°, β = 109.43° and γ = 90.00°. Symmetry generates all atoms from Li at (0.0000, 0.0000, 0.0000), Ho at (0.0000, 0.1685, 0.5000), Ho at (0.0000, 0.5000, 0.5000), Pu at (0.0000, 0.3338, 0.0000), Se at (0.2406, 0.0000, 0.7470) and Se at (0.2464, 0.1625, 0.2523).

Its density is 8.421 g/cm3. As for the total energy: -7.09 eV per atom. Its formation energy from raw total energies is -1.6520 eV per atom. As for the density of states at the Fermi level: 41.00 states/eV per cell.



(4)
VASP calculation (PBE) on a relaxed structure of Li3Ho2PuTe6.

It has space group C2/m (No. 12), with a = 7.5524 Å, b = 13.0768 Å, c = 7.4684 Å, α = 90.00°, β = 109.69° and γ = 90.00°. Symmetry generates all atoms from Li at (0.0000, 0.0000, 0.0000), Li at (0.0000, 0.3337, 0.0000), Ho at (0.0000, 0.1665, 0.5000), Pu at (0.0000, 0.5000, 0.5000), Te at (0.2456, 0.1693, 0.2442) and Te at (0.2469, 0.0000, 0.7562).

Its density is 6.505 g/cm3. As for the total energy: -5.19 eV per atom. Its formation energy from raw total energies is -1.1818 eV per atom. As for the density of states at the Fermi level: 29.42 states/eV per cell.